[1]
Compound: AcNpRu2
Source: Alexandria via LeMat-Bulk
Functional: PBE-GGA
Structure: optimized geometry

a b c (Å): 3.3881 3.3881 7.5862
angles (deg): 90.00 90.00 90.00
Space group P4/mmm (No. 123)
One atom of each set of equivalent atoms:
Ac 0.0000 0.0000 0.0000
Np 0.0000 0.0000 0.5000
Ru 0.5000 0.5000 0.3052

The calculation puts the formation energy at 0.00 eV per atom. For the density, the calculation gives 12.70 g/cm3.


[2]
Compound: Hg2RhBr8
Source: Alexandria via LeMat-Bulk
Functional: PBE-GGA
Structure: optimized geometry

a b c (Å): 15.3977 7.3428 6.7973
angles (deg): 90.00 97.00 90.00
Space group C2/m (No. 12)
One atom of each set of equivalent atoms:
Hg 0.1697 0.0000 0.1430
Rh 0.0000 0.0000 0.5000
Br 0.0581 0.2390 0.2863
Br 0.1431 0.0000 0.7113
Br 0.1662 0.5000 0.8554

As for the formation energy without anion corrections: -311.4 meV per atom. For the density, the calculation gives 4.98 g/cm3.